No. 1
This record from Alexandria describes a relaxed Nb3V2Re2 crystal. The functional is PBE-GGA.

The structure belongs to space group R-3m (No. 166, hexagonal axes); the cell edges are 4.4621, 4.4621 and 19.2119 Å and the angles 90.00°, 90.00° and 120.00°. The asymmetric unit holds Nb at (0.0000, 0.0000, 0.0000), Nb at (0.0000, 0.0000, 0.1417), V at (0.0000, 0.0000, 0.2880) and Re at (0.0000, 0.0000, 0.4269).

The raw total energy comes out at -10.68 eV per atom. The calculation puts the magnetization at 0.0 μB per formula unit. Its density of states at the Fermi level is 0.64 states/eV per atom. As for the formation energy: -0.200 eV per atom.

No. 2
This record from Alexandria describes a relaxed Nb6V5Re crystal. The functional is PBE-GGA.

The structure belongs to space group C2/m (No. 12); the cell edges are 14.1222, 6.3610 and 4.5240 Å and the angles 90.00°, 108.60° and 90.00°. The asymmetric unit holds Nb at (0.0000, 0.2500, 0.0000), Nb at (0.1667, 0.2496, 0.6666), V at (0.0000, 0.0000, 0.5000), V at (0.1664, 0.0000, 0.1662), V at (0.1689, 0.5000, 0.1691) and Re at (0.0000, 0.5000, 0.5000).

The raw total energy comes out at -9.91 eV per atom. The calculation puts the magnetization at 0.0 μB per formula unit. Its density of states at the Fermi level is 1.64 states/eV per atom. As for the formation energy: -0.039 eV per atom.

No. 3
This record from Alexandria describes a relaxed Nb6V2Re crystal. The functional is PBE-GGA.

The structure belongs to space group Immm (No. 71); the cell edges are 4.3825, 6.1451 and 13.0108 Å and the angles 90.00°, 90.00° and 90.00°. The asymmetric unit holds Nb at (0.0000, 0.2445, 0.0000), Nb at (0.0000, 0.2523, 0.3315), V at (0.0000, 0.0000, 0.1664) and Re at (0.0000, 0.0000, 0.5000).

The raw total energy comes out at -9.54 eV per atom. The calculation puts the magnetization at 0.0 μB per formula unit. Its density of states at the Fermi level is 1.22 states/eV per atom. As for the formation energy: 0.581 eV per atom.

raw total energy of number 1 (Nb3V2Re2)?
-10.68 eV per atom

What is the raw total energy in the second record?
-9.91 eV per atom

What did the third record say?
This record from Alexandria describes a relaxed Nb6V2Re crystal. The functional is PBE-GGA.

The structure belongs to space group Immm (No. 71); the cell edges are 4.3825, 6.1451 and 13.0108 Å and the angles 90.00°, 90.00° and 90.00°. The asymmetric unit holds Nb at (0.0000, 0.2445, 0.0000), Nb at (0.0000, 0.2523, 0.3315), V at (0.0000, 0.0000, 0.1664) and Re at (0.0000, 0.0000, 0.5000).

The raw total energy comes out at -9.54 eV per atom. The calculation puts the magnetization at 0.0 μB per formula unit. Its density of states at the Fermi level is 1.22 states/eV per atom. As for the formation energy: 0.581 eV per atom.